No. 1
Below is a geometry-optimized YWC2 structure, with properties calculated at the GGA-PBE level. Values from VASP.

Summary:
Formation enthalpy at 0 K ... 0.03 eV/atom
Magnetic moment ... 0.00 μB per cell
V ... 12.83 Å³/atom
Symmetry ... R3m
Electronic total energy ... -9.4395 eV/atom

Cell and atoms, written as Quantum ESPRESSO input:
```
&SYSTEM
  ibrav = 0, nat = 4, ntyp = 3
/
ATOMIC_SPECIES
Y 88.91 Y.upf
W 183.84 W.upf
C 12.01 C.upf
CELL_PARAMETERS angstrom
-1.488 -0.977 -2.652
-2.888 -1.349 0.194
-3.935 4.451 -1.355
ATOMIC_POSITIONS angstrom
Y -4.193 1.142 -1.914
W -6.824 2.839 -2.987
C -3.415 3.353 -1.242
C -1.971 0.305 -0.930
```

No. 2
Below is a geometry-optimized YW3C structure, with properties calculated at the GGA-PBE level. Values from VASP.

Summary:
Formation enthalpy at 0 K ... 0.33 eV/atom
Magnetic moment ... 0.00 μB per cell
V ... 16.10 Å³/atom
Symmetry ... Pm-3m
Electronic total energy ... -10.5801 eV/atom

Cell and atoms, written as Quantum ESPRESSO input:
```
&SYSTEM
  ibrav = 0, nat = 5, ntyp = 3
/
ATOMIC_SPECIES
Y 88.91 Y.upf
C 12.01 C.upf
W 183.84 W.upf
CELL_PARAMETERS angstrom
4.318 0.000 0.000
0.000 4.318 0.000
0.000 0.000 4.318
ATOMIC_POSITIONS angstrom
Y 2.159 2.159 2.159
C 0.000 0.000 0.000
W 0.000 2.159 0.000
W 0.000 0.000 2.159
W 2.159 0.000 0.000
```

No. 3
Below is a geometry-optimized YZr2WC4 structure, with properties calculated at the GGA-PBE level. Values from VASP.

Summary:
Formation enthalpy at 0 K ... -0.31 eV/atom
Magnetic moment ... 0.00 μB per cell
V ... 14.47 Å³/atom
Symmetry ... Cmcm
Electronic total energy ... -9.4910 eV/atom

Cell and atoms, written as Quantum ESPRESSO input:
```
&SYSTEM
  ibrav = 0, nat = 16, ntyp = 4
/
ATOMIC_SPECIES
Y 88.91 Y.upf
Zr 91.22 Zr.upf
W 183.84 W.upf
C 12.01 C.upf
CELL_PARAMETERS angstrom
-0.352 3.262 -0.662
-5.136 -2.662 -1.927
-4.839 1.635 10.635
ATOMIC_POSITIONS angstrom
Y -4.826 0.994 7.467
Y -5.500 1.241 0.579
Zr -6.510 0.113 4.018
Zr -1.732 1.418 -0.553
Zr -3.817 2.122 4.028
Zr -8.594 0.817 8.600
W -7.487 2.143 6.081
W -2.840 0.092 1.966
C -3.321 -0.336 0.108
C -5.745 2.145 5.168
C -7.005 2.571 7.938
C -4.582 0.090 2.879
C -2.419 0.818 5.318
C 0.000 0.000 0.000
C -8.377 0.305 5.958
C -1.950 1.930 2.088
```

No. 4
Below is a geometry-optimized ZnW3C structure, with properties calculated at the GGA-PBE level. Values from VASP.

Summary:
Formation enthalpy at 0 K ... 0.38 eV/atom
Magnetic moment ... 0.00 μB per cell
V ... 14.34 Å³/atom
Symmetry ... Pm-3m
Electronic total energy ... -9.4953 eV/atom

Cell and atoms, written as Quantum ESPRESSO input:
```
&SYSTEM
  ibrav = 0, nat = 5, ntyp = 3
/
ATOMIC_SPECIES
Zn 65.41 Zn.upf
C 12.01 C.upf
W 183.84 W.upf
CELL_PARAMETERS angstrom
-3.957 0.320 -1.225
0.303 -3.664 -1.934
-1.230 -1.931 3.466
ATOMIC_POSITIONS angstrom
Zn -2.442 -2.638 0.154
C 0.000 0.000 0.000
W 0.151 -1.832 -0.967
W -0.615 -0.966 1.733
W -1.978 0.160 -0.613
```

No. 5
Below is a geometry-optimized ZnWC3 structure, with properties calculated at the GGA-PBE level. Values from VASP.

Summary:
Formation enthalpy at 0 K ... 1.87 eV/atom
Magnetic moment ... 0.00 μB per cell
V ... 14.00 Å³/atom
Symmetry ... Pm-3m
Electronic total energy ... -6.5136 eV/atom

Cell and atoms, written as Quantum ESPRESSO input:
```
&SYSTEM
  ibrav = 0, nat = 5, ntyp = 3
/
ATOMIC_SPECIES
Zn 65.41 Zn.upf
C 12.01 C.upf
W 183.84 W.upf
CELL_PARAMETERS angstrom
4.121 0.000 0.000
0.000 4.121 0.000
0.000 0.000 4.121
ATOMIC_POSITIONS angstrom
Zn 2.061 2.061 2.061
C 0.000 2.061 0.000
C 0.000 0.000 2.061
C 2.061 0.000 0.000
W 0.000 0.000 0.000
```

No. 6
Below is a geometry-optimized ZnWC3 structure, with properties calculated at the GGA-PBE level. Values from VASP.

Summary:
Formation enthalpy at 0 K ... 2.93 eV/atom
Magnetic moment ... 0.00 μB per cell
V ... 10.92 Å³/atom
Symmetry ... Pm-3m
Electronic total energy ... -5.4506 eV/atom

Cell and atoms, written as Quantum ESPRESSO input:
```
&SYSTEM
  ibrav = 0, nat = 5, ntyp = 3
/
ATOMIC_SPECIES
Zn 65.41 Zn.upf
C 12.01 C.upf
W 183.84 W.upf
CELL_PARAMETERS angstrom
-0.392 2.888 -2.429
0.608 -2.361 -2.906
-3.724 -0.690 -0.219
ATOMIC_POSITIONS angstrom
Zn 0.000 0.000 0.000
C 0.304 -1.181 -1.453
C -1.862 -0.345 -0.109
C -0.196 1.444 -1.214
W -1.754 -0.082 -2.777
```

No. 7
Below is a geometry-optimized ZnWC2 structure, with properties calculated at the GGA-PBE level. Values from VASP.

Summary:
Formation enthalpy at 0 K ... 0.65 eV/atom
Magnetic moment ... 0.00 μB per cell
V ... 13.38 Å³/atom
Symmetry ... I-42d
Electronic total energy ... -7.5206 eV/atom

Cell and atoms, written as Quantum ESPRESSO input:
```
&SYSTEM
  ibrav = 0, nat = 8, ntyp = 3
/
ATOMIC_SPECIES
Zn 65.41 Zn.upf
C 12.01 C.upf
W 183.84 W.upf
CELL_PARAMETERS angstrom
-1.088 -2.352 4.025
2.196 -3.905 -1.687
4.565 -1.701 3.087
ATOMIC_POSITIONS angstrom
Zn 0.554 -3.128 1.169
Zn 3.658 -4.367 1.284
C 0.705 -2.450 3.191
C 2.409 -3.093 0.106
C 3.777 -3.511 3.240
C 4.456 -6.861 4.313
W 0.000 0.000 0.000
W 2.016 -3.590 4.141
```

No. 8
Below is a geometry-optimized Zr3WC structure, with properties calculated at the GGA-PBE level. Values from VASP.

Summary:
Formation enthalpy at 0 K ... 2.06 eV/atom
Magnetic moment ... 1.11 μB per cell
V ... 25.72 Å³/atom
Symmetry ... Pm-3m
Electronic total energy ... -7.5056 eV/atom

Cell and atoms, written as Quantum ESPRESSO input:
```
&SYSTEM
  ibrav = 0, nat = 5, ntyp = 3
/
ATOMIC_SPECIES
C 12.01 C.upf
Zr 91.22 Zr.upf
W 183.84 W.upf
CELL_PARAMETERS angstrom
-4.770 0.504 -1.571
-0.476 -5.022 -0.167
-1.580 -0.010 4.794
ATOMIC_POSITIONS angstrom
C -3.413 -2.264 1.528
Zr -0.238 -2.511 -0.083
Zr -0.790 -0.005 2.397
Zr -2.385 0.252 -0.785
W 0.000 0.000 0.000
```